This record from Alexandria via LeMat-Bulk describes a geometry-optimized TmCd3Ag4 structure. The functional is GGA-PBE.

The energy of formation comes out at -130 meV/atom. As for the total energy: -2.458 eV/atom.

It has space group Pmma (No. 51), with a = 9.614 Å, b = 7.029 Å, c = 4.810 Å, α = 90.00°, β = 90.00° and γ = 90.00°. The inequivalent atoms are Tm at (0.000, 0.000, 0.000), Cd at (0.000, 0.500, 0.000), Cd at (0.250, 0.000, 0.492), Cd at (0.250, 0.500, 0.490), Ag at (0.000, 0.259, 0.500) and Ag at (0.250, 0.259, 0.990).



This record from Alexandria via LeMat-Bulk describes a geometry-optimized Tm5CdAg4 structure. The functional is GGA-PBE.

The energy of formation comes out at -333 meV/atom. As for the total energy: -3.801 eV/atom.

It has space group P4/mmm (No. 123), with a = 3.593 Å, b = 3.593 Å, c = 18.175 Å, α = 90.00°, β = 90.00° and γ = 90.00°. The inequivalent atoms are Tm at (0.000, 0.000, 0.000), Tm at (0.000, 0.000, 0.198), Tm at (0.000, 0.000, 0.395), Cd at (0.500, 0.500, 0.500), Ag at (0.500, 0.500, 0.099) and Ag at (0.500, 0.500, 0.298).



This record from Alexandria via LeMat-Bulk describes a geometry-optimized Tm2Cd3Ag4 structure. The functional is GGA-PBE.

For the offset from the most stable computed form, the calculation gives 0.000 eV/f.u. The energy of formation comes out at -226 meV/atom. As for the total energy: -2.792 eV/atom.

It has space group C2/m (No. 12), with a = 8.570 Å, b = 4.838 Å, c = 9.137 Å, α = 90.00°, β = 92.32° and γ = 90.00°. The inequivalent atoms are Tm at (0.170, 0.000, 0.223), Cd at (0.000, 0.500, 0.000), Cd at (0.161, 0.000, 0.577), Ag at (0.007, 0.500, 0.345) and Ag at (0.164, 0.000, 0.898).



This record from Alexandria via LeMat-Bulk describes a geometry-optimized TmCd4Ag4 structure. The functional is GGA-PBE.

The energy of formation comes out at -107 meV/atom. As for the total energy: -2.278 eV/atom.

It has space group I4/mmm (No. 139), with a = 9.713 Å, b = 9.713 Å, c = 3.944 Å, α = 90.00°, β = 90.00° and γ = 90.00°. The inequivalent atoms are Tm at (0.000, 0.000, 0.000), Cd at (0.000, 0.327, 0.000) and Ag at (0.169, 0.169, 0.500).



This record from Alexandria via LeMat-Bulk describes a geometry-optimized Tm2CdAg structure. The functional is GGA-PBE.

The energy of formation comes out at -321 meV/atom. As for the total energy: -3.498 eV/atom.

It has space group P4/mmm (No. 123), with a = 3.654 Å, b = 3.654 Å, c = 7.231 Å, α = 90.00°, β = 90.00° and γ = 90.00°. The inequivalent atoms are Tm at (0.000, 0.000, 0.241), Cd at (0.500, 0.500, 0.500) and Ag at (0.500, 0.500, 0.000).



This record from Alexandria via LeMat-Bulk describes a geometry-optimized Tm2Cd3Ag structure. The functional is GGA-PBE.

The energy of formation comes out at -280 meV/atom. As for the total energy: -2.703 eV/atom.

It has space group Pmm2 (No. 25), with a = 3.348 Å, b = 4.906 Å, c = 8.498 Å, α = 90.00°, β = 90.00° and γ = 90.00°. The inequivalent atoms are Tm at (0.000, 0.000, 0.000), Tm at (0.000, 0.500, 0.480), Cd at (0.500, 0.000, 0.654), Cd at (0.500, 0.500, 0.157), Cd at (0.500, 0.500, 0.822) and Ag at (0.500, 0.000, 0.323).



This record from Alexandria via LeMat-Bulk describes a geometry-optimized TmCd4Ag structure. The functional is GGA-PBE.

For the offset from the most stable computed form, the calculation gives 0.000 eV/f.u. The energy of formation comes out at -156 meV/atom. As for the total energy: -1.986 eV/atom.

It has space group P-1 (No. 2), with a = 4.909 Å, b = 5.074 Å, c = 6.257 Å, α = 97.98°, β = 90.09° and γ = 118.89°. The inequivalent atoms are Tm at (0.000, 0.000, 0.000), Cd at (0.307, 0.616, 0.744), Cd at (0.367, 0.732, 0.256) and Ag at (0.000, 0.000, 0.500).



This record from Alexandria via LeMat-Bulk describes a geometry-optimized Tm2Cd3Ag2 structure. The functional is GGA-PBE.

For the offset from the most stable computed form, the calculation gives 0.000 eV/f.u. The energy of formation comes out at -249 meV/atom. As for the total energy: -2.733 eV/atom.

It has space group C2/m (No. 12), with a = 9.923 Å, b = 4.633 Å, c = 7.316 Å, α = 90.00°, β = 110.02° and γ = 90.00°. The inequivalent atoms are Tm at (0.135, 0.000, 0.272), Cd at (0.000, 0.500, 0.500), Cd at (0.121, 0.500, 0.934) and Ag at (0.160, 0.000, 0.696).



This record from Alexandria via LeMat-Bulk describes a geometry-optimized TmCd4Ag structure. The functional is GGA-PBE.

For the offset from the most stable computed form, the calculation gives 0.762 eV/f.u. The energy of formation comes out at -29 meV/atom. As for the total energy: -1.859 eV/atom.

It has space group F-43m (No. 216), with a = 8.165 Å, b = 8.165 Å, c = 8.165 Å, α = 90.00°, β = 90.00° and γ = 90.00°. The inequivalent atoms are Tm at (0.000, 0.000, 0.000), Cd at (0.125, 0.125, 0.375) and Ag at (0.250, 0.250, 0.750).



This record from Alexandria via LeMat-Bulk describes a geometry-optimized TmCd3Ag6 structure. The functional is GGA-PBE.

For the offset from the most stable computed form, the calculation gives 0.000 eV/f.u. The energy of formation comes out at -94 meV/atom. As for the total energy: -2.527 eV/atom.

It has space group P2_1/m (No. 11), with a = 9.181 Å, b = 4.498 Å, c = 9.638 Å, α = 90.00°, β = 95.21° and γ = 90.00°. The inequivalent atoms are Tm at (0.064, 0.250, 0.385), Cd at (0.248, 0.250, 0.010), Cd at (0.334, 0.750, 0.806), Cd at (0.441, 0.250, 0.600), Ag at (0.048, 0.750, 0.914), Ag at (0.141, 0.250, 0.707), Ag at (0.165, 0.750, 0.204), Ag at (0.251, 0.750, 0.505), Ag at (0.373, 0.250, 0.296) and Ag at (0.461, 0.750, 0.100).



This record from Alexandria via LeMat-Bulk describes a geometry-optimized Tm2Cd2Ag structure. The functional is GGA-PBE.

For the offset from the most stable computed form, the calculation gives 0.000 eV/f.u. The energy of formation comes out at -269 meV/atom. As for the total energy: -2.994 eV/atom.

It has space group C2/m (No. 12), with a = 5.074 Å, b = 5.078 Å, c = 9.506 Å, α = 90.00°, β = 105.39° and γ = 90.00°. The inequivalent atoms are Tm at (0.097, 0.000, 0.194), Cd at (0.204, 0.500, 0.408) and Ag at (0.000, 0.500, 0.000).



This record from Alexandria via LeMat-Bulk describes a geometry-optimized Tm2CdAg structure. The functional is GGA-PBE.

The energy of formation comes out at -103 meV/atom. As for the total energy: -3.281 eV/atom.

It has space group R-3m (No. 166, hexagonal axes), with a = 3.5653 Å, b = 3.5653 Å, c = 28.3009 Å, α = 90.00°, β = 90.00° and γ = 120.00°. The inequivalent atoms are Tm at (0.0000, 0.0000, 0.2462), Cd at (0.0000, 0.0000, 0.0000) and Ag at (0.0000, 0.0000, 0.5000).



This record from Alexandria via LeMat-Bulk describes a geometry-optimized TmCd3Ag7 structure. The functional is GGA-PBE.

The energy of formation comes out at 83 meV/atom. As for the total energy: -2.388 eV/atom.

It has space group C2/m (No. 12), with a = 9.534 Å, b = 9.755 Å, c = 5.593 Å, α = 90.00°, β = 113.54° and γ = 90.00°. The inequivalent atoms are Tm at (0.000, 0.000, 0.000), Cd at (0.000, 0.286, 0.500), Cd at (0.000, 0.500, 0.000), Ag at (0.000, 0.000, 0.500), Ag at (0.183, 0.263, 0.186) and Ag at (0.212, 0.500, 0.539).



This record from Alexandria via LeMat-Bulk describes a geometry-optimized TmCd6Ag3 structure. The functional is GGA-PBE.

The energy of formation comes out at -14 meV/atom. As for the total energy: -1.866 eV/atom.

It has space group Cmc2_1 (No. 36), with a = 11.193 Å, b = 11.841 Å, c = 6.749 Å, α = 90.00°, β = 90.00° and γ = 90.00°. The inequivalent atoms are Tm at (0.000, 0.223, 0.000), Cd at (0.000, 0.197, 0.491), Cd at (0.000, 0.434, 0.323), Cd at (0.211, 0.028, 0.480), Cd at (0.228, 0.301, 0.303), Ag at (0.000, 0.003, 0.739) and Ag at (0.129, 0.378, 0.695).



This record from Alexandria via LeMat-Bulk describes a geometry-optimized Tm4Cd5Ag structure. The functional is GGA-PBE.

The energy of formation comes out at -257 meV/atom. As for the total energy: -2.788 eV/atom.

It has space group P4/mmm (No. 123), with a = 3.632 Å, b = 3.632 Å, c = 18.205 Å, α = 90.00°, β = 90.00° and γ = 90.00°. The inequivalent atoms are Tm at (0.000, 0.000, 0.104), Tm at (0.000, 0.000, 0.310), Cd at (0.500, 0.500, 0.000), Cd at (0.500, 0.500, 0.206), Cd at (0.500, 0.500, 0.414) and Ag at (0.000, 0.000, 0.500).



This record from Alexandria via LeMat-Bulk describes a geometry-optimized Tm2Cd3Ag4 structure. The functional is GGA-PBE.

For the offset from the most stable computed form, the calculation gives 0.633 eV/f.u. The energy of formation comes out at -156 meV/atom. As for the total energy: -2.722 eV/atom.

It has space group Cmce (No. 64), with a = 5.824 Å, b = 17.173 Å, c = 7.943 Å, α = 90.00°, β = 90.00° and γ = 90.00°. The inequivalent atoms are Tm at (0.000, 0.095, 0.106), Cd at (0.000, 0.000, 0.500), Cd at (0.250, 0.240, 0.750), Ag at (0.000, 0.163, 0.477) and Ag at (0.250, 0.072, 0.750).



This record from Alexandria via LeMat-Bulk describes a geometry-optimized TmCdAg6 structure. The functional is GGA-PBE.

For the offset from the most stable computed form, the calculation gives 1.054 eV/f.u. The energy of formation comes out at 155 meV/atom. As for the total energy: -2.657 eV/atom.

It has space group R-3m (No. 166, hexagonal axes), with a = 7.8625 Å, b = 7.8625 Å, c = 10.3580 Å, α = 90.00°, β = 90.00° and γ = 120.00°. The inequivalent atoms are Tm at (0.0000, 0.0000, 0.0000), Cd at (0.0000, 0.0000, 0.5000) and Ag at (0.0931, 0.5465, 0.3848).



This record from Alexandria via LeMat-Bulk describes a geometry-optimized TmCd6Ag structure. The functional is GGA-PBE.

For the offset from the most stable computed form, the calculation gives 0.000 eV/f.u. The energy of formation comes out at -130 meV/atom. As for the total energy: -1.732 eV/atom.

It has space group P4/mmm (No. 123), with a = 4.626 Å, b = 4.626 Å, c = 8.227 Å, α = 90.00°, β = 90.00° and γ = 90.00°. The inequivalent atoms are Tm at (0.000, 0.000, 0.000), Cd at (0.000, 0.500, 0.263), Cd at (0.500, 0.500, 0.000), Cd at (0.500, 0.500, 0.500) and Ag at (0.000, 0.000, 0.500).



This record from Alexandria via LeMat-Bulk describes a geometry-optimized TmCdAg6 structure. The functional is GGA-PBE.

For the offset from the most stable computed form, the calculation gives 0.000 eV/f.u. The energy of formation comes out at 23 meV/atom. As for the total energy: -2.789 eV/atom.

It has space group C2/m (No. 12), with a = 8.417 Å, b = 5.773 Å, c = 7.384 Å, α = 90.00°, β = 105.73° and γ = 90.00°. The inequivalent atoms are Tm at (0.000, 0.000, 0.000), Cd at (0.000, 0.500, 0.500), Ag at (0.132, 0.500, 0.927) and Ag at (0.218, 0.264, 0.302).



This record from Alexandria via LeMat-Bulk describes a geometry-optimized Tm8CdAg2 structure. The functional is GGA-PBE.

For the offset from the most stable computed form, the calculation gives 0.000 eV/f.u. The energy of formation comes out at -131 meV/atom. As for the total energy: -3.985 eV/atom.

It has space group C2/m (No. 12), with a = 15.803 Å, b = 5.213 Å, c = 8.217 Å, α = 90.00°, β = 119.92° and γ = 90.00°. The inequivalent atoms are Tm at (0.066, 0.000, 0.223), Tm at (0.099, 0.500, 0.962), Tm at (0.143, 0.000, 0.696), Tm at (0.184, 0.500, 0.459), Cd at (0.000, 0.500, 0.500) and Ag at (0.223, 0.000, 0.120).